A geometry-optimized NdHo3N4 structure. Source: Alexandria, functional GGA-PBE.

The space group is P2/c (No. 13) and the conventional cell measures 6.067, 7.013 and 6.065 Å, with angles of 90.00, 109.46 and 90.00 degrees. The distinct sites, in fractional coordinates, are Nd at (0.000, 0.127, 0.250), Ho at (0.000, 0.376, 0.750), Ho at (0.500, 0.129, 0.750), Ho at (0.500, 0.376, 0.250), N at (0.253, 0.378, 0.506) and N at (0.259, 0.133, 0.998).

Its crystal system is monoclinic. The value obtained for the total moment is 0.0 μB per formula unit. The formation energy from raw total energies comes out at -1.62 eV/atom.

A geometry-optimized TaHg2F structure. Source: Alexandria, functional GGA-PBE.

The space group is I-42d (No. 122) and the conventional cell measures 7.387, 7.387 and 5.673 Å, with angles of 90.00, 90.00 and 90.00 degrees. The distinct sites, in fractional coordinates, are Ta at (0.000, 0.000, 0.000), Hg at (0.220, 0.250, 0.625) and F at (0.000, 0.000, 0.500).

Its crystal system is tetragonal. The value obtained for the total moment is 1.2 μB per formula unit. The formation energy from raw total energies comes out at 0.22 eV/atom. The calculation puts the distance to the lowest polymorph of the same formula at 0.0000 eV/atom.

A geometry-optimized Pm7SmSc2 structure. Source: Alexandria, functional GGA-PBE.

The space group is Cmmm (No. 65) and the conventional cell measures 8.963, 15.409 and 5.623 Å, with angles of 90.00, 90.00 and 90.00 degrees. The distinct sites, in fractional coordinates, are Pm at (0.000, 0.000, 0.000), Pm at (0.000, 0.252, 0.500), Pm at (0.183, 0.378, 0.000), Sm at (0.000, 0.500, 0.500) and Sc at (0.000, 0.203, 0.000).

The formation energy is 0.606 eV/atom. Its crystal system is orthorhombic. The value obtained for the total moment is 0.0 μB per formula unit.

A geometry-optimized Y3HfZr2N6 structure. Source: Alexandria, functional GGA-PBE.

The space group is C2/m (No. 12) and the conventional cell measures 5.782, 10.000 and 5.836 Å, with angles of 90.00, 109.31 and 90.00 degrees. The distinct sites, in fractional coordinates, are Y at (0.000, 0.000, 0.000), Y at (0.000, 0.333, 0.000), Hf at (0.000, 0.500, 0.500), Zr at (0.000, 0.166, 0.500), N at (0.240, 0.336, 0.729) and N at (0.249, 0.000, 0.730).

Its crystal system is monoclinic. The value obtained for the total moment is 0.0 μB per formula unit. The formation energy from raw total energies comes out at -1.74 eV/atom.

A geometry-optimized Tb6CCl12 structure. Source: Alexandria, functional GGA-PBE.

The space group is R-3m (No. 166, hexagonal axes) and the conventional cell measures 9.5846, 9.5846 and 17.4715 Å, with angles of 90.00, 90.00 and 120.00 degrees. The distinct sites, in fractional coordinates, are Tb at (0.0666, 0.5333, 0.2490), C at (0.0000, 0.0000, 0.5000), Cl at (0.0323, 0.5162, 0.8984) and Cl at (0.0744, 0.5372, 0.5982).

Its crystal system is trigonal. The value obtained for the total moment is 0.0 μB per formula unit. The formation energy from raw total energies comes out at -1.77 eV/atom.

A geometry-optimized DyTl2F11 structure. Source: Alexandria, functional GGA-PBE.

The space group is Ibam (No. 72) and the conventional cell measures 8.317, 10.316 and 10.986 Å, with angles of 90.00, 90.00 and 90.00 degrees. The distinct sites, in fractional coordinates, are Dy at (0.000, 0.000, 0.250), Tl at (0.167, 0.308, 0.000), F at (0.000, 0.500, 0.000), F at (0.102, 0.172, 0.146), F at (0.104, 0.311, 0.500) and F at (0.207, 0.072, 0.367).

Its crystal system is orthorhombic. The value obtained for the total moment is 2.2 μB per formula unit. The formation energy from raw total energies comes out at -2.11 eV/atom.

A geometry-optimized DyY2Tm5Sc structure. Source: Alexandria, functional GGA-PBE.

The space group is Cmc2_1 (No. 36) and the conventional cell measures 5.503, 19.538 and 10.310 Å, with angles of 90.00, 90.00 and 90.00 degrees. The distinct sites, in fractional coordinates, are Dy at (0.000, 0.088, 0.000), Y at (0.000, 0.387, 0.278), Y at (0.000, 0.389, 0.859), Tm at (0.000, 0.019, 0.282), Tm at (0.000, 0.119, 0.564), Tm at (0.000, 0.200, 0.248), Tm at (0.000, 0.222, 0.862), Tm at (0.000, 0.481, 0.564) and Sc at (0.000, 0.303, 0.557).

The formation energy is 0.170 eV/atom. Its crystal system is orthorhombic. The value obtained for the total moment is 0.0 μB per formula unit.

A geometry-optimized KYbSe2 structure. Source: Alexandria, functional GGA-PBE.

The space group is R-3m (No. 166, hexagonal axes) and the conventional cell measures 4.2212, 4.2212 and 22.9688 Å, with angles of 90.00, 90.00 and 120.00 degrees. The distinct sites, in fractional coordinates, are K at (0.0000, 0.0000, 0.0000), Yb at (0.0000, 0.0000, 0.5000) and Se at (0.0000, 0.0000, 0.2350).

Its crystal system is trigonal. The value obtained for the total moment is 0.5 μB per formula unit. The formation energy from raw total energies comes out at -1.48 eV/atom.

A geometry-optimized Ti4PS5 structure. Source: Alexandria, functional GGA-PBE.

The space group is C2/m (No. 12) and the conventional cell measures 15.059, 3.451 and 7.042 Å, with angles of 90.00, 101.44 and 90.00 degrees. The distinct sites, in fractional coordinates, are Ti at (0.002, 0.000, 0.245), Ti at (0.168, 0.500, 0.079), P at (0.000, 0.500, 0.000), S at (0.000, 0.500, 0.500), S at (0.164, 0.000, 0.320) and S at (0.169, 0.000, 0.825).

Its crystal system is monoclinic. The value obtained for the total moment is 0.0 μB per formula unit. The formation energy from raw total energies comes out at -1.28 eV/atom.

A geometry-optimized Y7Er3Tm structure. Source: Alexandria, functional GGA-PBE.

The space group is Immm (No. 71) and the conventional cell measures 5.772, 11.109 and 11.223 Å, with angles of 90.00, 90.00 and 90.00 degrees. The distinct sites, in fractional coordinates, are Y at (0.000, 0.000, 0.000), Y at (0.000, 0.207, 0.500), Y at (0.000, 0.305, 0.205), Er at (0.000, 0.000, 0.292), Er at (0.000, 0.500, 0.000) and Tm at (0.000, 0.500, 0.500).

The formation energy is 0.272 eV/atom. Its crystal system is orthorhombic. The value obtained for the total moment is 0.4 μB per formula unit. The calculation puts the distance to the lowest polymorph of the same formula at 0.1244 eV/atom.

A geometry-optimized PaTlTe3Pd structure. Source: Alexandria, functional GGA-PBE.

The space group is P2_1/m (No. 11) and the conventional cell measures 9.561, 4.266 and 10.286 Å, with angles of 90.00, 111.78 and 90.00 degrees. The distinct sites, in fractional coordinates, are Pa at (0.197, 0.250, 0.174), Tl at (0.292, 0.750, 0.746), Te at (0.047, 0.250, 0.846), Te at (0.281, 0.250, 0.479), Te at (0.398, 0.750, 0.123) and Pd at (0.405, 0.750, 0.391).

Its crystal system is monoclinic. The value obtained for the total moment is 0.2 μB per formula unit. The formation energy from raw total energies comes out at -0.65 eV/atom.

A geometry-optimized NpGa4RhAu2 structure. Source: Alexandria, functional GGA-PBE.

The space group is R-3m (No. 166, hexagonal axes) and the conventional cell measures 4.3758, 4.3758 and 26.3222 Å, with angles of 90.00, 90.00 and 120.00 degrees. The distinct sites, in fractional coordinates, are Np at (0.0000, 0.0000, 0.0000), Ga at (0.0000, 0.0000, 0.1336), Ga at (0.0000, 0.0000, 0.3971), Rh at (0.0000, 0.0000, 0.5000) and Au at (0.0000, 0.0000, 0.2444).

The formation energy is -0.241 eV/atom. Its crystal system is trigonal. The value obtained for the total moment is 4.4 μB per formula unit.

A geometry-optimized SmTiP2 structure. Source: Alexandria, functional GGA-PBE.

The space group is R3m (No. 160, hexagonal axes) and the conventional cell measures 3.7293, 3.7293 and 19.5926 Å, with angles of 90.00, 90.00 and 120.00 degrees. The distinct sites, in fractional coordinates, are Sm at (0.0000, 0.0000, 0.0000), Ti at (0.0000, 0.0000, 0.1744), P at (0.0000, 0.0000, 0.5734) and P at (0.0000, 0.0000, 0.7672).

The formation energy is -1.177 eV/atom. Its crystal system is trigonal. The value obtained for the total moment is 0.0 μB per formula unit. The calculation puts the distance to the lowest polymorph of the same formula at 0.0922 eV/atom.

A geometry-optimized Ca8BiP4 structure. Source: Alexandria, functional GGA-PBE.

The space group is F-43m (No. 216) and the conventional cell measures 12.228, 12.228 and 12.228 Å, with angles of 90.00, 90.00 and 90.00 degrees. The distinct sites, in fractional coordinates, are Ca at (0.106, 0.106, 0.394), Ca at (0.142, 0.142, 0.858), Bi at (0.250, 0.250, 0.250) and P at (0.127, 0.127, 0.627).

The formation energy is -0.922 eV/atom. Its crystal system is cubic. The value obtained for the total moment is 1.0 μB per formula unit.

A geometry-optimized CsI2 structure. Source: Alexandria, functional GGA-PBE.

The space group is Cm (No. 8) and the conventional cell measures 12.055, 10.540 and 6.024 Å, with angles of 90.00, 111.76 and 90.00 degrees. The distinct sites, in fractional coordinates, are Cs at (0.000, 0.233, 0.000), I at (0.006, 0.500, 0.510), I at (0.222, 0.500, 0.958), I at (0.276, 0.000, 0.041) and I at (0.472, 0.500, 0.475).

Its crystal system is monoclinic. The value obtained for the total moment is 0.0 μB per formula unit. The formation energy from raw total energies comes out at -1.05 eV/atom. The calculation puts the distance to the lowest polymorph of the same formula at 0.0154 eV/atom.

A geometry-optimized Sm3Tl2Te2 structure. Source: Alexandria, functional GGA-PBE.

The space group is C2/m (No. 12) and the conventional cell measures 10.805, 4.703 and 9.414 Å, with angles of 90.00, 106.09 and 90.00 degrees. The distinct sites, in fractional coordinates, are Sm at (0.000, 0.000, 0.000), Sm at (0.207, 0.000, 0.691), Tl at (0.165, 0.500, 0.921) and Te at (0.104, 0.000, 0.348).

Its crystal system is monoclinic. The value obtained for the total moment is 0.0 μB per formula unit. The formation energy from raw total energies comes out at -0.81 eV/atom.

A geometry-optimized NdErBi structure. Source: Alexandria, functional GGA-PBE.

The space group is P3m1 (No. 156) and the conventional cell measures 5.2325, 5.2325 and 4.0839 Å, with angles of 90.00, 90.00 and 120.00 degrees. The distinct sites, in fractional coordinates, are Nd at (0.0000, 0.0000, 0.0000), Er at (0.3333, 0.6667, 0.4734) and Bi at (0.6667, 0.3333, 0.6188).

The formation energy is -0.290 eV/atom. Its crystal system is trigonal. The value obtained for the total moment is 0.0 μB per formula unit.

A geometry-optimized Ba2ZrRe structure. Source: Alexandria, functional GGA-PBE.

The space group is Cmmm (No. 65) and the conventional cell measures 3.534, 5.436 and 11.900 Å, with angles of 90.00, 90.00 and 90.00 degrees. The distinct sites, in fractional coordinates, are Ba at (0.000, 0.000, 0.211), Zr at (0.000, 0.500, 0.500) and Re at (0.000, 0.500, 0.000).

The formation energy is 1.275 eV/atom. Its crystal system is orthorhombic. The value obtained for the total moment is 0.0 μB per formula unit. The calculation puts the distance to the lowest polymorph of the same formula at 0.8225 eV/atom.

A geometry-optimized SiAgTeN2 structure. Source: Alexandria, functional GGA-PBE.

The space group is P4/mmm (No. 123) and the conventional cell measures 3.659, 3.659 and 6.272 Å, with angles of 90.00, 90.00 and 90.00 degrees. The distinct sites, in fractional coordinates, are Si at (0.000, 0.000, 0.000), Ag at (0.500, 0.500, 0.500), Te at (0.000, 0.000, 0.500) and N at (0.000, 0.500, 0.000).

Its crystal system is tetragonal. The value obtained for the total moment is 0.1 μB per formula unit. The formation energy from raw total energies comes out at 0.78 eV/atom. The calculation puts the distance to the lowest polymorph of the same formula at 0.0000 eV/atom.

A geometry-optimized NaLa2AsO6 structure. Source: Alexandria, functional GGA-PBE.

The space group is P4mm (No. 99) and the conventional cell measures 5.468, 5.468 and 4.825 Å, with angles of 90.00, 90.00 and 90.00 degrees. The distinct sites, in fractional coordinates, are Na at (0.000, 0.000, 0.000), La at (0.000, 0.500, 0.445), As at (0.500, 0.500, 0.033), O at (0.000, 0.000, 0.539), O at (0.276, 0.276, 0.139) and O at (0.500, 0.500, 0.667).

Its crystal system is tetragonal. The value obtained for the total moment is 0.1 μB per formula unit. The formation energy from raw total energies comes out at -2.38 eV/atom.